Entry 1:
NaZn2CoSn: optimized geometry, PBE.

Summary:
- final energy (eV per atom) = -2.989
- space-group type = P4/mmm, No. 123
- ρ (g/cm³) = 5.18

a = 4.730 Å, b = 4.730 Å, c = 4.752 Å
α = 90.00°, β = 90.00°, γ = 90.00°
Fractional coordinates of all 5 atoms:
Na: 0.000 0.000 0.000
Zn: 0.000 0.500 0.500
Zn: 0.500 0.000 0.500
Co: 0.500 0.500 0.500
Sn: 0.500 0.500 0.000


Entry 2:
Ac2Pr5Sm3: optimized geometry, PBE.

Summary:
- final energy (eV per atom) = -4.441
- space-group type = C2/c, No. 15
- ρ (g/cm³) = 7.11

a = 9.239 Å, b = 9.239 Å, c = 10.714 Å
α = 108.29°, β = 108.29°, γ = 105.71°
Fractional coordinates of all 20 atoms:
Ac: 0.028 0.275 0.054
Ac: 0.275 0.028 0.554
Ac: 0.725 0.972 0.446
Ac: 0.972 0.725 0.946
Pr: 0.123 0.371 0.748
Pr: 0.240 0.760 0.750
Pr: 0.274 0.726 0.250
Pr: 0.371 0.123 0.248
Pr: 0.491 0.509 0.250
Pr: 0.509 0.491 0.750
Pr: 0.629 0.877 0.752
Pr: 0.726 0.274 0.750
Pr: 0.760 0.240 0.250
Pr: 0.877 0.629 0.252
Sm: 0.025 0.975 0.750
Sm: 0.219 0.469 0.440
Sm: 0.469 0.219 0.940
Sm: 0.531 0.781 0.060
Sm: 0.781 0.531 0.560
Sm: 0.975 0.025 0.250


Entry 3:
La5Cu19P12: optimized geometry, PBE.

Summary:
- final energy (eV per atom) = -5.192
- space-group type = P-62m, No. 189
- ρ (g/cm³) = 6.73

a = 12.750 Å, b = 12.750 Å, c = 3.984 Å
α = 90.00°, β = 90.00°, γ = 120.00°
Fractional coordinates of all 36 atoms:
La: 0.000 0.807 0.000
La: 0.193 0.193 0.000
La: 0.333 0.667 0.500
La: 0.667 0.333 0.500
La: 0.807 0.000 0.000
Cu: 0.000 0.000 0.500
Cu: 0.000 0.289 0.000
Cu: 0.000 0.451 0.500
Cu: 0.118 0.634 0.000
Cu: 0.171 0.379 0.500
Cu: 0.208 0.829 0.500
Cu: 0.289 0.000 0.000
Cu: 0.366 0.484 0.000
Cu: 0.379 0.171 0.500
Cu: 0.451 0.000 0.500
Cu: 0.484 0.366 0.000
Cu: 0.516 0.882 0.000
Cu: 0.549 0.549 0.500
Cu: 0.621 0.792 0.500
Cu: 0.634 0.118 0.000
Cu: 0.711 0.711 0.000
Cu: 0.792 0.621 0.500
Cu: 0.829 0.208 0.500
Cu: 0.882 0.516 0.000
P: 0.000 0.177 0.500
P: 0.000 0.632 0.500
P: 0.173 0.479 0.000
P: 0.177 0.000 0.500
P: 0.307 0.827 0.000
P: 0.368 0.368 0.500
P: 0.479 0.173 0.000
P: 0.521 0.693 0.000
P: 0.632 0.000 0.500
P: 0.693 0.521 0.000
P: 0.823 0.823 0.500
P: 0.827 0.307 0.000


Entry 4:
BaPrF4: optimized geometry, PBE.

Summary:
- ΔE_f (raw) (eV/atom) = -3.6460
- final energy (eV per atom) = -6.011
- space-group type = P4/mmm, No. 123
- ρ (g/cm³) = 5.24

a = 4.191 Å, b = 4.191 Å, c = 6.392 Å
α = 90.00°, β = 90.00°, γ = 90.00°
Fractional coordinates of all 6 atoms:
Ba: 0.000 0.000 0.000
Pr: 0.500 0.500 0.500
F: 0.000 0.500 0.299
F: 0.000 0.500 0.701
F: 0.500 0.000 0.299
F: 0.500 0.000 0.701


Entry 5:
Pm6ErMg: optimized geometry, PBE.

Summary:
- final energy (eV per atom) = -4.328
- space-group type = P4/mmm, No. 123
- ρ (g/cm³) = 6.81
- offset from the most stable computed form (eV/atom) = 0.000

a = 5.045 Å, b = 5.045 Å, c = 10.175 Å
α = 90.00°, β = 90.00°, γ = 90.00°
Fractional coordinates of all 8 atoms:
Pm: 0.000 0.000 0.000
Pm: 0.000 0.000 0.500
Pm: 0.000 0.500 0.248
Pm: 0.000 0.500 0.752
Pm: 0.500 0.000 0.248
Pm: 0.500 0.000 0.752
Er: 0.500 0.500 0.500
Mg: 0.500 0.500 0.000


Entry 6:
RbInIr2: optimized geometry, PBE.

Summary:
- final energy (eV per atom) = -4.255
- space-group type = Fm-3m, No. 225
- ρ (g/cm³) = 12.11
- offset from the most stable computed form (eV/atom) = 0.509

a = 4.840 Å, b = 4.840 Å, c = 4.840 Å
α = 60.00°, β = 60.00°, γ = 60.00°
Fractional coordinates of all 4 atoms:
Rb: 0.000 0.000 0.000
In: 0.500 0.500 0.500
Ir: 0.250 0.250 0.250
Ir: 0.750 0.750 0.750


Entry 7:
Mg3Br: optimized geometry, PBE.

Summary:
- ΔE_f (raw) (eV/atom) = 0.0708
- final energy (eV per atom) = -1.543
- space-group type = Fm-3m, No. 225
- ρ (g/cm³) = 2.27
- offset from the most stable computed form (eV/atom) = 0.391

a = 5.404 Å, b = 5.404 Å, c = 5.404 Å
α = 60.00°, β = 60.00°, γ = 60.00°
Fractional coordinates of all 4 atoms:
Mg: 0.000 0.000 0.000
Mg: 0.250 0.250 0.250
Mg: 0.750 0.750 0.750
Br: 0.500 0.500 0.500


Entry 8:
CeBS: optimized geometry, PBE.

Summary:
- ΔE_f (raw) (eV/atom) = -1.1240
- final energy (eV per atom) = -6.704
- space-group type = Cmcm, No. 63
- ρ (g/cm³) = 6.05

a = 7.257 Å, b = 7.257 Å, c = 3.534 Å
α = 90.00°, β = 90.00°, γ = 147.30°
Fractional coordinates of all 6 atoms:
Ce: 0.112 0.888 0.750
Ce: 0.888 0.112 0.250
B: 0.476 0.524 0.750
B: 0.524 0.476 0.250
S: 0.337 0.663 0.750
S: 0.663 0.337 0.250


| no. | N(E_F) (states/eV per cell) | size of the total moment (μB/atom) |
| --- | --- | --- |
| 1 | 2.1 | 0.000 |
| 2 | 35.3 | 0.000 |
| 3 | 7.9 | 0.000 |
| 4 | 0.8 | 0.123 |
| 5 | 10.2 | 0.000 |
| 6 | 2.6 | 0.000 |
| 7 | 4.1 | 0.000 |
| 8 | 7.3 | 0.173 |